# 1
Here is HgHRhAuS after structural relaxation from the Alexandria database. Energies are from PBE-GGA.

Computed properties:
- Energy above the most stable polymorph in this dataset: 0.095 eV/atom
- Volume: 16.89 Å³ per atom
- Size of the total moment: 0.00 μB per cell

Unit cell a=3.4981 b=3.1958 c=15.1117 alpha=90.00 beta=90.00 gamma=90.00
Space group Amm2 (No. 38)
Symmetry-distinct sites (fractional):
Hg 0.0000 0.0000 0.0000 [2 per cell]
H 0.5000 0.0000 0.6408 [2 per cell]
Rh 0.0000 0.0000 0.6552 [2 per cell]
Au 0.5000 0.0000 0.3762 [2 per cell]
S 0.0000 0.0000 0.2566 [2 per cell]

=====

# 2
Here is HgHRhAuS after structural relaxation from the Alexandria database. Energies are from PBE-GGA.

Computed properties:
- Energy above the most stable polymorph in this dataset: 0.073 eV/atom
- Volume: 16.50 Å³ per atom
- Size of the total moment: 0.00 μB per cell

Unit cell a=14.4264 b=3.4866 c=3.2806 alpha=90.00 beta=90.75 gamma=90.00
Space group Cm (No. 8)
Symmetry-distinct sites (fractional):
Hg 0.0000 0.0000 0.0000 [2 per cell]
H 0.3595 0.5000 0.4878 [2 per cell]
Rh 0.3781 0.0000 0.4878 [2 per cell]
Au 0.1491 0.5000 0.9824 [2 per cell]
S 0.2706 0.0000 0.9820 [2 per cell]

=====

# 3
Here is HgHRhAuS after structural relaxation from the Alexandria database. Energies are from PBE-GGA.

Computed properties:
- Energy above the most stable polymorph in this dataset: 0.109 eV/atom
- Volume: 16.64 Å³ per atom
- Size of the total moment: 0.00 μB per cell

Unit cell a=2.9386 b=5.0380 c=5.6511 alpha=83.93 beta=89.02 gamma=89.81
Space group P1 (No. 1)
Symmetry-distinct sites (fractional):
Hg 0.0000 0.0000 0.0000 [1 per cell]
H 0.5245 0.4617 0.0468 [1 per cell]
Rh 0.0143 0.4723 0.2407 [1 per cell]
Au 0.5091 0.0265 0.5291 [1 per cell]
S 0.5050 0.5386 0.5384 [1 per cell]

=====

# 4
Here is HgHRhAuS after structural relaxation from the Alexandria database. Energies are from PBE-GGA.

Computed properties:
- Energy above the most stable polymorph in this dataset: 0.021 eV/atom
- Volume: 18.81 Å³ per atom
- Size of the total moment: 0.00 μB per cell

Unit cell a=3.1606 b=5.0890 c=6.2660 alpha=101.29 beta=90.09 gamma=107.54
Space group P1 (No. 1)
Symmetry-distinct sites (fractional):
Hg 0.0000 0.0000 0.0000 [1 per cell]
H 0.4380 0.8863 0.4847 [1 per cell]
Rh 0.7499 0.5018 0.1546 [1 per cell]
Au 0.2391 0.4815 0.7841 [1 per cell]
S 0.2975 0.5990 0.4130 [1 per cell]

=====

# 5
Here is HgHRhAuS after structural relaxation from the Alexandria database. Energies are from PBE-GGA.

Computed properties:
- Energy above the most stable polymorph in this dataset: 0.040 eV/atom
- Volume: 15.66 Å³ per atom
- Size of the total moment: 0.00 μB per cell

Unit cell a=3.4463 b=3.5951 c=12.6378 alpha=90.00 beta=90.00 gamma=90.00
Space group Imm2 (No. 44)
Symmetry-distinct sites (fractional):
Hg 0.0000 0.0000 0.0000 [2 per cell]
H 0.0000 0.5000 0.3597 [2 per cell]
Rh 0.0000 0.0000 0.3816 [2 per cell]
Au 0.0000 0.0000 0.6200 [2 per cell]
S 0.0000 0.5000 0.7615 [2 per cell]

=====

# 6
Here is HgHAuS2 after structural relaxation from the Alexandria database. Energies are from PBE-GGA.

Computed properties:
- DFT total energy: -1.78 eV/atom
- Volume: 27.12 Å³ per atom
- Size of the total moment: 1.91 μB per cell

Unit cell a=5.0254 b=5.0254 c=5.3700 alpha=90.00 beta=90.00 gamma=90.00
Space group P4/mmm (No. 123)
Symmetry-distinct sites (fractional):
Hg 0.0000 0.0000 0.0000 [1 per cell]
H 0.5000 0.5000 0.5000 [1 per cell]
Au 0.0000 0.0000 0.5000 [1 per cell]
S 0.0000 0.5000 0.0000 [2 per cell]

=====

# 7
Here is HgSbHAu2 after structural relaxation from the Alexandria database. Energies are from PBE-GGA.

Computed properties:
- DFT total energy: -2.67 eV/atom
- Volume: 21.61 Å³ per atom
- Size of the total moment: 0.00 μB per cell

Unit cell a=5.3517 b=5.3517 c=3.7722 alpha=90.00 beta=90.00 gamma=90.00
Space group P4/mmm (No. 123)
Symmetry-distinct sites (fractional):
Hg 0.0000 0.0000 0.0000 [1 per cell]
Sb 0.5000 0.5000 0.5000 [1 per cell]
H 0.5000 0.5000 0.0000 [1 per cell]
Au 0.0000 0.5000 0.5000 [2 per cell]

=====

# 8
Here is Sc2HgHAu after structural relaxation from the Alexandria database. Energies are from PBE-GGA.

Computed properties:
- DFT total energy: -4.36 eV/atom
- Volume: 16.91 Å³ per atom
- Size of the total moment: 0.58 μB per cell

Unit cell a=4.6366 b=4.6366 c=3.9334 alpha=90.00 beta=90.00 gamma=90.00
Space group P4/mmm (No. 123)
Symmetry-distinct sites (fractional):
Sc 0.0000 0.5000 0.0000 [2 per cell]
Hg 0.0000 0.0000 0.5000 [1 per cell]
H 0.5000 0.5000 0.0000 [1 per cell]
Au 0.5000 0.5000 0.5000 [1 per cell]

=====

volume of number 2 (HgHRhAuS)? 16.50 Å³ per atom